A plane-wave DFT calculation with PBE-GGA was carried out for a relaxed NaEu2Hg crystal.

Lattice parameters (Å, degrees): 11.4701 11.4701 11.4701 19.77 19.77 19.77
Closest atoms and distances in Å follow each position.
Fractional positions:
Na  0.0000  0.0000  0.0000  6 Na 3.94, 6 Eu 3.96
Eu  0.2371  0.2371  0.2371  3 Hg 3.29
Eu  0.7629  0.7629  0.7629  3 Hg 3.29
Hg  0.5000  0.5000  0.5000  6 Eu 3.29

Values from the calculation:
Formation enthalpy at 0 K   -0.142 eV/atom
Raw total energy   -5.685 eV/atom


A plane-wave DFT calculation with PBE-GGA was carried out for a relaxed NaEu2Hg crystal.

Lattice parameters (Å, degrees): 5.6034 5.6034 4.1944 90.00 90.00 90.00
Closest atoms and distances in Å follow each position.
Fractional positions:
Na  0.0000  0.0000  0.0000  8 Eu 3.50
Eu  0.0000  0.5000  0.5000  4 Hg 3.50, 4 Na 3.50
Eu  0.5000  0.0000  0.5000  4 Hg 3.50, 4 Na 3.50
Hg  0.5000  0.5000  0.0000  8 Eu 3.50

Values from the calculation:
Formation enthalpy at 0 K   -0.197 eV/atom
Raw total energy   -5.739 eV/atom


A plane-wave DFT calculation with PBE-GGA was carried out for a relaxed NaEu3Hg crystal.

Lattice parameters (Å, degrees): 6.1735 6.1735 6.1735 90.00 90.00 90.00
Closest atoms and distances in Å follow each position.
Fractional positions:
Na  0.0000  0.0000  0.0000  12 Eu 4.37
Eu  0.0000  0.5000  0.5000  2 Hg 3.09
Eu  0.5000  0.0000  0.5000  2 Hg 3.09
Eu  0.5000  0.5000  0.0000  2 Hg 3.09
Hg  0.5000  0.5000  0.5000  6 Eu 3.09

Values from the calculation:
Formation enthalpy at 0 K   -0.052 eV/atom
Raw total energy   -6.541 eV/atom


A plane-wave DFT calculation with PBE-GGA was carried out for a relaxed NaEuHg crystal.

Lattice parameters (Å, degrees): 6.4276 6.4276 6.4276 143.60 143.60 52.42
Closest atoms and distances in Å follow each position.
Fractional positions:
Na  0.0000  0.0000  0.0000  4 Hg 3.28, 1 Eu 3.38
Eu  0.7069  0.7069  0.0000  4 Hg 3.33, 5 Na 3.38-3.71
Hg  0.3570  0.3570  0.0000  4 Na 3.28, 4 Eu 3.33

Values from the calculation:
Formation enthalpy at 0 K   -0.244 eV/atom
Raw total energy   -4.209 eV/atom


A plane-wave DFT calculation with PBE-GGA was carried out for a relaxed NaEu2Hg crystal.

Lattice parameters (Å, degrees): 5.6958 5.6958 5.6958 60.00 60.00 60.00
Closest atoms and distances in Å follow each position.
Fractional positions:
Na  0.0000  0.0000  0.0000  8 Eu 3.49
Eu  0.2500  0.2500  0.2500  4 Hg 3.49, 4 Na 3.49
Eu  0.7500  0.7500  0.7500  4 Hg 3.49, 4 Na 3.49
Hg  0.5000  0.5000  0.5000  8 Eu 3.49

Values from the calculation:
Formation enthalpy at 0 K   -0.198 eV/atom
Raw total energy   -5.740 eV/atom


A plane-wave DFT calculation with PBE-GGA was carried out for a relaxed NaEuHg crystal.

Lattice parameters (Å, degrees): 5.2862 5.2862 3.8248 90.00 90.00 120.00
Closest atoms and distances in Å follow each position.
Fractional positions:
Na  0.0000  0.0000  0.0000  3 Hg 3.05
Eu  0.6667  0.3333  0.5037  6 Hg 3.59-3.61, 6 Na 3.59-3.61, 2 Eu 3.82
Hg  0.3333  0.6667  0.0088  3 Na 3.05

Values from the calculation:
Formation enthalpy at 0 K   -0.213 eV/atom
Raw total energy   -4.178 eV/atom


A plane-wave DFT calculation with PBE-GGA was carried out for a relaxed NaEu2Hg crystal.

Lattice parameters (Å, degrees): 3.9491 3.9491 8.9622 90.00 90.00 90.00
Closest atoms and distances in Å follow each position.
Fractional positions:
Na  0.0000  0.0000  0.0000  8 Eu 3.85, 4 Na 3.95
Eu  0.5000  0.5000  0.2951  4 Hg 3.34, 1 Eu 3.67
Eu  0.5000  0.5000  0.7049  4 Hg 3.34, 1 Eu 3.67
Hg  0.0000  0.0000  0.5000  8 Eu 3.34

Values from the calculation:
Formation enthalpy at 0 K   -0.259 eV/atom
Raw total energy   -5.802 eV/atom


A plane-wave DFT calculation with PBE-GGA was carried out for a relaxed NaEuHgPd crystal.

Lattice parameters (Å, degrees): 5.1930 5.1930 5.1930 60.00 60.00 60.00
Closest atoms and distances in Å follow each position.
Fractional positions:
Na  0.0000  0.0000  0.0000  4 Hg 3.18, 4 Pd 3.18
Eu  0.5000  0.5000  0.5000  4 Hg 3.18, 4 Pd 3.18
Hg  0.2500  0.2500  0.2500  4 Na 3.18, 4 Eu 3.18
Pd  0.7500  0.7500  0.7500  4 Na 3.18, 4 Eu 3.18

Values from the calculation:
Formation enthalpy at 0 K   -0.357 eV/atom
Raw total energy   -4.629 eV/atom